This record from the Alexandria database describes a geometry-optimized RbTa2W structure. The functional is GGA-PBE.

Calculated values
- Excess energy over the best structure of this formula in the dataset: 388 meV/atom
- Density of states at the Fermi level: 10.9 states/eV/cell
- E_tot: -7.3113 eV/atom
- Energy of formation from the pure elements: 2.10 eV/atom

a b c (Å): 9.4365 9.4365 9.4365
angles (deg): 145.74 145.74 49.24
With the nearest neighbours (Å) after each atom.
Fractional positions:
Rb  0.0000  0.0000  0.0000  8 Ta 3.72-3.84, 4 W 3.93
Rb  0.7500  0.2500  0.5000  8 Ta 3.72-3.84, 4 W 3.93
Ta  0.3606  0.6250  0.2356  2 W 2.56, 2 Ta 2.78
Ta  0.3750  0.6106  0.7356  2 W 2.56, 2 Ta 2.78
Ta  0.3894  0.1250  0.7644  2 W 2.56, 2 Ta 2.78
Ta  0.8750  0.6394  0.2644  2 W 2.56, 2 Ta 2.78
W  0.2500  0.7500  0.5000  4 Ta 2.56
W  0.5000  0.5000  0.0000  4 Ta 2.56